Record 1
The following is a DFT calculation (PBE) of an optimized crystal structure of Pm5Y2Er4.

Energy above the lowest structure with this stoichiometry: 0.31 eV per formula unit
E: -4.80 eV/atom
Magnetic moment: 0.0 μB per cell
ΔH_f (0 K): 194 meV/atom

abc: 3.5203 9.0447 12.7628
angles: 110.75 97.93 90.00
Fractional coordinates of all 11 atoms:
Er1 0.5967 0.5966 0.1933
Er2 0.0000 0.3146 0.0000
Er3 0.0000 0.6854 0.0000
Er4 0.4033 0.4034 0.8067
Pm1 0.1439 0.3423 0.2877
Pm2 0.8561 0.0545 0.7123
Pm3 0.8561 0.6577 0.7123
Pm4 0.5000 0.0000 0.0000
Pm5 0.1439 0.9455 0.2877
Y1 0.2690 0.2690 0.5380
Y2 0.7310 0.7310 0.4620

***

Record 2
The following is a DFT calculation (PBE) of an optimized crystal structure of BiAs2SeI.

Energy above the lowest structure with this stoichiometry: 0.00 eV per formula unit
Formation energy from raw total energies: 4.4 eV/f.u.
E: -2.76 eV/atom
Magnetic moment: 1.9 μB per cell

abc: 5.6697 5.6697 5.3997
angles: 90.00 90.00 90.00
Site moments in Bohr magnetons follow the coordinates.
Fractional coordinates of all 5 atoms:
Bi1 0.0000 0.0000 0.0000  0.02
As1 0.5000 0.0000 0.0000  0.42
As2 0.0000 0.5000 0.0000  0.42
Se1 0.0000 0.0000 0.5000  -0.03
I1 0.5000 0.5000 0.5000  0.09

***

Record 3
The following is a DFT calculation (PBE) of an optimized crystal structure of Rb2CdH2Cl2.

E: -2.78 eV/atom
Magnetic moment: 0.0 μB per cell

abc: 4.4331 4.4331 9.0521
angles: 104.17 104.17 90.00
Fractional coordinates of all 7 atoms:
Cl1 0.1629 0.1629 0.3257
Cl2 0.8371 0.8371 0.6743
H1 0.5000 0.0000 0.0000
H2 0.0000 0.5000 0.0000
Cd1 0.0000 0.0000 0.0000
Rb1 0.3653 0.3653 0.7305
Rb2 0.6347 0.6347 0.2695

***

Record 4
The following is a DFT calculation (PBE) of an optimized crystal structure of CeLuZnGa.

E: -4.10 eV/atom
Magnetic moment: 0.4 μB per cell
ΔH_f (0 K): -416 meV/atom

abc: 5.0374 5.0374 5.0374
angles: 60.00 60.00 60.00
Site moments in Bohr magnetons follow the coordinates.
Fractional coordinates of all 4 atoms:
Lu1 0.0000 0.0000 0.0000  0.00
Ga1 0.7500 0.7500 0.7500  0.00
Zn1 0.2500 0.2500 0.2500  0.01
Ce1 0.5000 0.5000 0.5000  0.38

***

Record 5
The following is a DFT calculation (PBE) of an optimized crystal structure of Ho3GaIr.

E: -5.73 eV/atom
Magnetic moment: 0.0 μB per cell
ΔH_f (0 K): -602 meV/atom

abc: 4.5385 6.7670 8.3023
angles: 90.00 90.00 90.00
Fractional coordinates of all 10 atoms:
Ho1 0.7500 0.5023 0.6620
Ho2 0.7500 0.7500 0.0533
Ho3 0.2500 0.0023 0.3380
Ho4 0.2500 0.4977 0.3380
Ho5 0.7500 0.9977 0.6620
Ho6 0.2500 0.2500 0.9467
Ir1 0.2500 0.2500 0.6127
Ir2 0.7500 0.7500 0.3873
Ga1 0.2500 0.7500 0.8252
Ga2 0.7500 0.2500 0.1748

***

Record 6
The following is a DFT calculation (PBE) of an optimized crystal structure of YFe2Co3.

E: -7.46 eV/atom
Magnetic moment: 13.6 μB per cell
ΔH_f (0 K): -14 meV/atom

abc: 4.6636 6.1507 6.1507
angles: 99.83 90.00 90.00
Site moments in Bohr magnetons follow the coordinates.
Fractional coordinates of all 12 atoms:
Fe1 0.5000 0.2171 0.7829  1.78
Fe2 0.0000 0.7829 0.2171  1.78
Fe3 0.5000 0.7829 0.2171  1.78
Fe4 0.0000 0.2171 0.7829  1.78
Co1 0.7500 0.0635 0.0635  1.30
Co2 0.2500 0.9365 0.9365  1.30
Co3 0.7500 0.4601 0.0631  1.18
Co4 0.2500 0.5399 0.9369  1.18
Co5 0.2500 0.9369 0.5399  1.18
Co6 0.7500 0.0631 0.4601  1.18
Y1 0.7500 0.6886 0.6886  -0.21
Y2 0.2500 0.3114 0.3114  -0.21

***

Record 7
The following is a DFT calculation (PBE) of an optimized crystal structure of Pm2Al3Zn6.

Energy above the lowest structure with this stoichiometry: 0.00 eV per formula unit
E: -2.86 eV/atom
Magnetic moment: 0.0 μB per cell
ΔH_f (0 K): -277 meV/atom

abc: 4.1249 7.7360 7.7360
angles: 120.00 90.00 90.00
Fractional coordinates of all 11 atoms:
Zn1 0.5000 0.7082 0.7082
Zn2 0.0000 0.1896 0.1896
Zn3 0.5000 0.0000 0.2918
Zn4 0.0000 0.0000 0.8104
Zn5 0.5000 0.2918 0.0000
Zn6 0.0000 0.8104 0.0000
Al1 0.5000 0.6233 0.0000
Al2 0.5000 0.0000 0.6233
Al3 0.5000 0.3767 0.3767
Pm1 0.0000 0.6667 0.3333
Pm2 0.0000 0.3333 0.6667

***

Record 8
The following is a DFT calculation (PBE) of an optimized crystal structure of ZnAg2Os.

E: -4.05 eV/atom
Magnetic moment: 0.0 μB per cell
ΔH_f (0 K): 497 meV/atom

abc: 2.6830 4.3447 5.4878
angles: 90.00 90.00 90.00
Fractional coordinates of all 4 atoms:
Ag1 0.0000 0.0000 0.0010
Ag2 0.0000 0.0000 0.4990
Zn1 0.5000 0.5000 0.7500
Os1 0.5000 0.5000 0.2500

***

Record 9
The following is a DFT calculation (PBE) of an optimized crystal structure of Sc3AsPb.

Energy above the lowest structure with this stoichiometry: 0.00 eV per formula unit
E: -6.11 eV/atom
Magnetic moment: 0.0 μB per cell
ΔH_f (0 K): -639 meV/atom

abc: 3.7813 8.2672 8.2669
angles: 72.81 90.00 90.00
Fractional coordinates of all 10 atoms:
Pb1 0.8633 0.1941 0.2465
Pb2 0.3632 0.6942 0.7464
Sc1 0.8634 0.0044 0.6811
Sc2 0.8631 0.6288 0.0567
Sc3 0.3632 0.0051 0.0573
Sc4 0.3632 0.3833 0.4356
Sc5 0.8634 0.3839 0.8118
Sc6 0.8631 0.7594 0.4362
As1 0.3631 0.6942 0.2464
As2 0.3634 0.1941 0.7464

***

Record 10
The following is a DFT calculation (PBE) of an optimized crystal structure of CoAg2Cl4.

Formation energy from raw total energies: -3.2 eV/f.u.
E: -3.35 eV/atom
Magnetic moment: 3.0 μB per cell

abc: 6.5894 6.5894 6.4405
angles: 120.77 120.77 90.00
Site moments in Bohr magnetons follow the coordinates.
Fractional coordinates of all 7 atoms:
Cl1 0.3425 0.3425 0.2685  0.09
Cl2 0.9260 0.9260 0.2685  0.09
Cl3 0.0740 0.6575 0.7315  0.09
Cl4 0.6575 0.0740 0.7315  0.09
Co1 0.0000 0.0000 0.0000  2.42
Ag1 0.5000 0.0000 0.0000  0.02
Ag2 0.0000 0.5000 0.0000  0.02

***

Record 11
The following is a DFT calculation (PBE) of an optimized crystal structure of SrZn8Ni2.

E: -2.02 eV/atom
Magnetic moment: 0.0 μB per cell
ΔH_f (0 K): 112 meV/atom

abc: 5.3336 5.3336 8.6530
angles: 90.00 90.00 90.00
Fractional coordinates of all 11 atoms:
Ni1 0.5000 0.0000 0.0000
Ni2 0.0000 0.5000 0.0000
Zn1 0.7520 0.7520 0.1783
Zn2 0.7520 0.2480 0.8217
Zn3 0.7520 0.2480 0.1783
Zn4 0.7520 0.7520 0.8217
Zn5 0.2480 0.2480 0.8217
Zn6 0.2480 0.2480 0.1783
Zn7 0.2480 0.7520 0.1783
Zn8 0.2480 0.7520 0.8217
Sr1 0.5000 0.5000 0.5000

***

Record 12
The following is a DFT calculation (PBE) of an optimized crystal structure of MgSiTe2.

Energy above the lowest structure with this stoichiometry: 0.94 eV per formula unit
Formation energy from raw total energies: -0.2 eV/f.u.
E: -3.39 eV/atom
Magnetic moment: 0.0 μB per cell

abc: 7.4673 7.4648 7.4648
angles: 149.61 149.62 43.50
Fractional coordinates of all 4 atoms:
Mg1 0.4585 0.4585 0.0000
Si1 0.2072 0.7072 0.5000
Te1 0.7891 0.2891 0.5000
Te2 0.0453 0.0453 0.0000

***

Copy entry 7 word for word.
The following is a DFT calculation (PBE) of an optimized crystal structure of Pm2Al3Zn6.

Energy above the lowest structure with this stoichiometry: 0.00 eV per formula unit
E: -2.86 eV/atom
Magnetic moment: 0.0 μB per cell
ΔH_f (0 K): -277 meV/atom

abc: 4.1249 7.7360 7.7360
angles: 120.00 90.00 90.00
Fractional coordinates of all 11 atoms:
Zn1 0.5000 0.7082 0.7082
Zn2 0.0000 0.1896 0.1896
Zn3 0.5000 0.0000 0.2918
Zn4 0.0000 0.0000 0.8104
Zn5 0.5000 0.2918 0.0000
Zn6 0.0000 0.8104 0.0000
Al1 0.5000 0.6233 0.0000
Al2 0.5000 0.0000 0.6233
Al3 0.5000 0.3767 0.3767
Pm1 0.0000 0.6667 0.3333
Pm2 0.0000 0.3333 0.6667

***

Which of these has the highest magnetic moment? YFe2Co3

***

What is the magnetic moment in the fifth record? 0.0 μB per cell